Entry 1:
Density functional theory data (PBE) for an optimized crystal structure of Bi.

Computed properties:
As for the density: 9.4 g/cm3. For the formation energy, the calculation gives 0.00 eV/atom. As for the excess energy over the best structure of this formula in the dataset: 0 meV/atom. As for the symmetry: R-3m, No. 166.

Cell: 4.827 4.827 4.827 Å, 56.74 56.74 56.74°
Fractional positions:
Bi: 0.234 0.234 0.234
Bi: 0.766 0.766 0.766

=====

Entry 2:
Density functional theory data (PBE) for an optimized crystal structure of Sm3HSe3.

Computed properties:
As for the density: 6.2 g/cm3. The value obtained for the total DFT energy (no corrections) is -5.4807 eV/atom. As for the symmetry: R-3, No. 148.

Cell: 7.644 7.644 7.644 Å, 67.67 67.67 67.67°
Fractional positions:
Sm: 0.100 0.804 0.354
Sm: 0.196 0.646 0.900
Sm: 0.354 0.100 0.804
Sm: 0.646 0.900 0.196
Sm: 0.804 0.354 0.100
Sm: 0.900 0.196 0.646
H: 0.110 0.110 0.110
H: 0.890 0.890 0.890
Se: 0.058 0.466 0.716
Se: 0.284 0.942 0.534
Se: 0.466 0.716 0.058
Se: 0.534 0.284 0.942
Se: 0.716 0.058 0.466
Se: 0.942 0.534 0.284

=====

Entry 3:
Density functional theory data (PBE) for an optimized crystal structure of Fe2Sb.

Computed properties:
As for the density: 7.8 g/cm3. The calculation puts the uncorrected formation energy at 338 meV/atom. As for the symmetry: P4/mmm, No. 123.

Cell: 3.468 3.468 4.136 Å, 90.00 90.00 90.00°
Fractional positions:
Fe: 0.000 0.500 0.000
Fe: 0.500 0.000 0.000
Sb: 0.000 0.000 0.500

=====

Entry 4:
Density functional theory data (PBE) for an optimized crystal structure of La4RuBr2N.

Computed properties:
As for the density: 6.4 g/cm3. The calculation puts the uncorrected formation energy at -1144 meV/atom. As for the symmetry: P2/m, No. 10.

Cell: 6.818 4.058 8.058 Å, 90.00 105.68 90.00°
Fractional positions:
La: 0.227 0.000 0.185
La: 0.228 0.500 0.810
La: 0.772 0.500 0.190
La: 0.773 0.000 0.815
Ru: 0.500 0.000 0.000
Br: 0.000 0.000 0.500
Br: 0.500 0.500 0.500
N: 0.000 0.500 0.000

=====

The magnetic moment results, record by record, are as follows: 0.000 0.000 1.464 0.000 μB per atom.